# 1
A plane-wave DFT calculation with GGA-PBE was carried out for PuZr4Au5 after structural relaxation.

Summary:
DFT formation energy: -454 meV/atom
final energy: -69.45 eV for the cell shown
symmetry: P4/mmm, No. 123

Lattice parameters (Å, degrees): 3.129 3.129 20.840 90.00 90.00 90.00
Sites, in units of the cell vectors:
Pu1 0.000 0.000 0.000
Zr1 0.000 0.000 0.206
Zr2 0.000 0.000 0.402
Zr3 0.000 0.000 0.598
Zr4 0.000 0.000 0.794
Au1 0.500 0.500 0.110
Au2 0.500 0.500 0.304
Au3 0.500 0.500 0.500
Au4 0.500 0.500 0.696
Au5 0.500 0.500 0.890

---

# 2
A plane-wave DFT calculation with GGA-PBE was carried out for Rb5Au after structural relaxation.

Summary:
DFT formation energy: -89 meV/atom
final energy: -17.30 eV for the cell shown
symmetry: Pmma, No. 51

Lattice parameters (Å, degrees): 5.202 11.611 13.397 90.00 90.00 90.00
Sites, in units of the cell vectors:
Rb1 0.000 0.396 0.250
Rb2 0.000 0.604 0.750
Rb3 0.000 0.000 0.000
Rb4 0.000 0.000 0.500
Rb5 0.500 0.042 0.250
Rb6 0.500 0.958 0.750
Rb7 0.500 0.694 0.088
Rb8 0.500 0.306 0.912
Rb9 0.500 0.694 0.412
Rb10 0.500 0.306 0.588
Au1 0.000 0.830 0.250
Au2 0.000 0.170 0.750

---

# 3
A plane-wave DFT calculation with GGA-PBE was carried out for Rb3Au after structural relaxation.

Summary:
DFT formation energy: -102 meV/atom
final energy: -6.59 eV for the cell shown
symmetry: Pmm2, No. 25

Lattice parameters (Å, degrees): 4.609 4.648 12.336 90.00 90.00 90.00
Sites, in units of the cell vectors:
Au1 0.000 0.000 0.994
Rb1 0.000 0.500 0.456
Rb2 0.500 0.500 0.102
Rb3 0.500 0.000 0.781

---

# 4
A plane-wave DFT calculation with GGA-PBE was carried out for Rb5Au after structural relaxation.

Summary:
DFT formation energy: -52 meV/atom
final energy: -8.43 eV for the cell shown
symmetry: Cmmm, No. 65

Lattice parameters (Å, degrees): 5.691 4.567 16.773 97.82 90.00 90.00
Sites, in units of the cell vectors:
Au1 0.000 0.000 0.000
Rb1 0.500 0.813 0.627
Rb2 0.000 0.588 0.175
Rb3 0.500 0.500 0.000
Rb4 0.000 0.412 0.825
Rb5 0.500 0.187 0.373

---

# 5
A plane-wave DFT calculation with GGA-PBE was carried out for Rb5Au4 after structural relaxation.

Summary:
DFT formation energy: -271 meV/atom
final energy: -20.38 eV for the cell shown
symmetry: C2/m, No. 12

Lattice parameters (Å, degrees): 5.128 6.777 11.429 78.53 77.03 67.77
Sites, in units of the cell vectors:
Rb1 0.103 0.193 0.600
Rb2 0.897 0.807 0.400
Rb3 0.751 0.676 0.821
Rb4 0.249 0.324 0.179
Rb5 0.000 0.000 0.000
Au1 0.444 0.283 0.829
Au2 0.556 0.717 0.171
Au3 0.394 0.601 0.612
Au4 0.606 0.399 0.388

---

# 6
A plane-wave DFT calculation with GGA-PBE was carried out for Rb4Au after structural relaxation.

Summary:
DFT formation energy: -108 meV/atom
final energy: -7.69 eV for the cell shown
symmetry: Pm-3m, No. 221

Lattice parameters (Å, degrees): 7.011 7.011 7.011 90.00 90.00 90.00
Sites, in units of the cell vectors:
Rb1 0.000 0.000 0.000
Rb2 0.500 0.000 0.500
Rb3 0.000 0.500 0.500
Rb4 0.500 0.500 0.000
Au1 0.500 0.500 0.500

---

# 7
A plane-wave DFT calculation with GGA-PBE was carried out for Rb2Au3 after structural relaxation.

Summary:
DFT formation energy: -303 meV/atom
final energy: -13.28 eV for the cell shown
symmetry: Immm, No. 71

Lattice parameters (Å, degrees): 6.557 6.557 6.557 134.39 129.53 70.37
Sites, in units of the cell vectors:
Rb1 0.695 0.195 0.500
Rb2 0.305 0.805 0.500
Au1 0.252 0.500 0.752
Au2 0.000 0.000 0.000
Au3 0.748 0.500 0.248

---

# 8
A plane-wave DFT calculation with GGA-PBE was carried out for Rb4Au after structural relaxation.

Summary:
DFT formation energy: -108 meV/atom
final energy: -15.38 eV for the cell shown
symmetry: Ibam, No. 72

Lattice parameters (Å, degrees): 8.183 9.011 10.713 114.87 112.45 90.00
Sites, in units of the cell vectors:
Rb1 0.659 0.015 0.318
Rb2 0.159 0.303 0.318
Rb3 0.426 0.628 0.851
Rb4 0.926 0.223 0.851
Rb5 0.574 0.372 0.149
Rb6 0.074 0.777 0.149
Rb7 0.841 0.697 0.682
Rb8 0.341 0.985 0.682
Au1 0.750 0.000 0.000
Au2 0.250 0.000 0.000

---

# 9
A plane-wave DFT calculation with GGA-PBE was carried out for Rb13Au2 after structural relaxation.

Summary:
DFT formation energy: 6 meV/atom
final energy: -19.04 eV for the cell shown
symmetry: R-3m, No. 166

Lattice parameters (Å, degrees): 16.886 16.886 16.886 31.21 31.21 31.21
Sites, in units of the cell vectors:
Rb1 0.500 0.500 0.500
Rb2 0.216 0.691 0.216
Rb3 0.216 0.216 0.691
Rb4 0.691 0.216 0.216
Rb5 0.309 0.784 0.784
Rb6 0.784 0.309 0.784
Rb7 0.784 0.784 0.309
Rb8 0.050 0.544 0.050
Rb9 0.050 0.050 0.544
Rb10 0.544 0.050 0.050
Rb11 0.456 0.950 0.950
Rb12 0.950 0.456 0.950
Rb13 0.950 0.950 0.456
Au1 0.426 0.426 0.426
Au2 0.574 0.574 0.574

---

# 10
A plane-wave DFT calculation with GGA-PBE was carried out for Rb7Au after structural relaxation.

Summary:
DFT formation energy: -11 meV/atom
final energy: -10.14 eV for the cell shown
symmetry: R-3m, No. 166

Lattice parameters (Å, degrees): 7.259 7.259 13.714 74.65 74.65 60.00
Sites, in units of the cell vectors:
Rb1 0.916 0.916 0.252
Rb2 0.785 0.785 0.646
Rb3 0.649 0.649 0.054
Rb4 0.500 0.500 0.500
Rb5 0.351 0.351 0.946
Rb6 0.215 0.215 0.354
Rb7 0.084 0.084 0.748
Au1 0.000 0.000 0.000

---

Record-wise theoretical density values, in Mg/m³: 13.0 2.6 2.8 2.4 5.7 2.6 8.3 2.8 2.2 2.2